1.
A plane-wave DFT calculation with PBE-GGA was carried out for a relaxed structure of AcPu2Tl3Se6.

Output
Final energy = -6.267 eV/atom
Formation energy (no corrections) = -14.42 eV per formula unit
Volume = 31.7 A^3/atom
Mass density = 7.88 g cm⁻³

Lattice parameters (Å, degrees): 7.5450 7.5450 8.0995 98.93 98.93 119.92
With the nearest neighbours (Å) after each atom.
Element x y z (fractional)
Tl 0.5000 0.5000 0.5000  6 Se 3.28-3.42
Tl 0.1651 0.8349 0.5000  6 Se 3.27-3.43
Tl 0.8349 0.1651 0.5000  6 Se 3.27-3.43
Pu 0.3331 0.6669 0.0000  6 Se 2.92-2.93
Pu 0.6669 0.3331 0.0000  6 Se 2.92-2.93
Se 0.0701 0.4218 0.2100  2 Pu 2.93, 1 Ac 3.11, 1 Tl 3.27
Se 0.5782 0.9299 0.7900  2 Pu 2.93, 1 Ac 3.11, 1 Tl 3.27
Se 0.9299 0.5782 0.7900  2 Pu 2.93, 1 Ac 3.11, 1 Tl 3.27
Se 0.2832 0.2832 0.7938  2 Pu 2.92, 1 Ac 3.10
Se 0.7168 0.7168 0.2062  2 Pu 2.92, 1 Ac 3.10
Se 0.4218 0.0701 0.2100  2 Pu 2.93, 1 Ac 3.11, 1 Tl 3.27
Ac 0.0000 0.0000 0.0000  6 Se 3.10-3.11

---

2.
A plane-wave DFT calculation with PBE-GGA was carried out for a relaxed structure of Ac3PuTl4Se8.

Output
Final energy = -5.336 eV/atom
Formation energy (no corrections) = -21.38 eV per formula unit
Volume = 33.8 A^3/atom
Mass density = 7.30 g cm⁻³

Lattice parameters (Å, degrees): 9.0073 9.2837 9.0069 119.03 120.00 90.00
With the nearest neighbours (Å) after each atom.
Element x y z (fractional)
Ac 0.5000 0.5000 0.5000  6 Se 3.10-3.12
Ac 0.5000 0.5000 0.0000  6 Se 3.10-3.12
Ac 0.0000 0.5000 0.5000  6 Se 3.10-3.12
Se 0.7514 0.7125 0.9821  1 Pu 2.98, 2 Ac 3.12
Se 0.7692 0.2874 0.5385  1 Pu 2.98, 2 Ac 3.12
Se 0.2598 0.2796 0.5196  3 Ac 3.10, 3 Tl 3.37
Se 0.7402 0.7204 0.4804  3 Ac 3.10, 3 Tl 3.37
Se 0.2308 0.7126 0.4615  1 Pu 2.98, 2 Ac 3.12
Se 0.2307 0.7125 0.9821  1 Pu 2.98, 2 Ac 3.12
Se 0.2486 0.2875 0.0179  1 Pu 2.98, 2 Ac 3.12
Se 0.7693 0.2875 0.0179  1 Pu 2.98, 2 Ac 3.12
Tl 0.0000 0.0000 0.0000  6 Se 3.37
Tl 0.5000 0.0000 0.0000  6 Se 3.49-3.50
Tl 0.5000 0.0000 0.5000  6 Se 3.37
Tl 0.0000 0.0000 0.5000  6 Se 3.37
Pu 0.0000 0.5000 0.0000  6 Se 2.98

---

3.
A plane-wave DFT calculation with PBE-GGA was carried out for a relaxed structure of Ac2TmPuSe4.

Output
Final energy = -6.843 eV/atom
Formation energy (no corrections) = -13.79 eV per formula unit
Volume = 27.7 A^3/atom
Mass density = 8.88 g cm⁻³

Lattice parameters (Å, degrees): 4.2101 7.3298 7.5643 108.61 90.00 90.00
With the nearest neighbours (Å) after each atom.
Element x y z (fractional)
Tm 0.0000 0.0000 0.0000  6 Se 2.88
Se 0.5000 0.7660 0.7804  2 Tm 2.88, 1 Pu 2.94, 3 Ac 3.12-3.18
Se 0.0000 0.7466 0.2230  1 Tm 2.88, 2 Pu 2.93, 3 Ac 3.13-3.17
Se 0.5000 0.2340 0.2196  2 Tm 2.88, 1 Pu 2.94, 3 Ac 3.12-3.18
Se 0.0000 0.2534 0.7770  1 Tm 2.88, 2 Pu 2.93, 3 Ac 3.13-3.17
Pu 0.5000 0.5000 0.0000  6 Se 2.93-2.94
Ac 0.5000 0.0000 0.5000  6 Se 3.12-3.13
Ac 0.0000 0.5000 0.5000  6 Se 3.17-3.18